{"formula": "PaMo3", "functional": "GGA-PBE", "state": "optimized geometry", "rho_g_cm3": 11.8, "m_tot_mub_per_fu": 0.00, "formation_enthalpy_0k_mev_per_atom": 173, "crystal_system": "tetragonal", "polymorph_energy_kj_per_mol_fu": 49, "lattice": [[4.711, 0.000, 0.000], [0.000, 4.711, 0.000], [0.000, 0.000, 3.277]], "species": ["Pa", "Mo", "Mo", "Mo"], "frac_coords": [[0.000, 0.000, 0.000], [0.000, 0.500, 0.500], [0.500, 0.000, 0.500], [0.500, 0.500, 0.000]]}